# 1
VASP calculation (PBE) on PrSmEr after structural relaxation.

Geometry as extended XYZ:
```
3
Lattice="3.5191 0.0000 0.0000 0.0000 5.7181 0.0000 0.0000 -2.8590 4.9520" Properties=species:S:1:pos:R:3 pbc="T T T"
Pr 0.5824 0.0000 0.0000
Sm 2.3452 2.8590 1.6507
Er 0.5915 0.0000 3.3013
```

## Properties
Calculated formation energy ... 0.068 eV/atom
Total magnetic moment ... 0.000 μB/atom
Calculated total energy ... -0.339 Ry per atom
SG ... P3m1, No. 156
Density ... 7.6 g/cm3



# 2
VASP calculation (PBE) on Pr2Sm3Er8 after structural relaxation.

Geometry as extended XYZ:
```
13
Lattice="-2.9226 2.6190 3.9281 -9.3780 -3.4025 -4.7111 -6.9970 -8.5170 0.4703" Properties=species:S:1:pos:R:3 pbc="T T T"
Pr -5.4010 -1.5600 0.9420
Pr -13.8966 -7.7405 -1.2547
Sm -1.4613 1.3095 1.9641
Sm -7.6924 -7.0234 -1.0428
Sm -8.6827 -4.8961 -3.1980
Er -10.8421 -7.8907 -2.8065
Er -8.4555 -1.4099 2.4938
Er -5.0265 1.0872 3.3829
Er -14.2711 -10.3877 -3.6956
Er -8.3890 -2.2832 -0.7978
Er -7.3801 -4.4503 1.3976
Er -11.9175 -4.8503 -1.7103
Er -10.9086 -7.0173 0.4851
```

## Properties
Calculated formation energy ... 0.251 eV/atom
Total magnetic moment ... 0.000 μB/atom
Calculated total energy ... -0.322 Ry per atom
SG ... Cmmm, No. 65
Density ... 7.8 g/cm3



# 3
VASP calculation (PBE) on Pr5Sm2Er4 after structural relaxation.

Geometry as extended XYZ:
```
11
Lattice="3.5039 0.0000 -0.6617 -0.1984 11.6712 -1.0507 -0.0949 0.2044 9.1054" Properties=species:S:1:pos:R:3 pbc="T T T"
Pr 2.9981 5.5924 6.2678
Pr 0.2125 6.2832 1.1253
Pr 2.6407 10.9804 4.3752
Pr 1.7520 0.0000 -0.3308
Pr 0.5699 0.8951 3.0178
Sm 2.4002 4.1935 3.1021
Sm 0.8103 7.6820 4.2910
Er 1.1537 2.5214 6.1092
Er 3.1528 8.8369 7.0870
Er 2.0569 9.3541 1.2839
Er 0.0578 3.0386 0.3061
```

## Properties
Calculated formation energy ... 0.074 eV/atom
Total magnetic moment ... 0.000 μB/atom
Calculated total energy ... -0.339 Ry per atom
SG ... C2/m, No. 12
Density ... 7.5 g/cm3



# 4
VASP calculation (PBE) on PrSm2Er after structural relaxation.

Geometry as extended XYZ:
```
4
Lattice="3.6295 0.0000 0.0000 1.8147 3.1432 0.0000 1.8147 1.0477 11.7744" Properties=species:S:1:pos:R:3 pbc="T T T"
Pr 3.6295 2.0955 5.8882
Sm 1.8147 1.0477 8.9097
Sm 1.8147 1.0477 2.8652
Er 5.4442 3.1432 11.7729
```

## Properties
Calculated formation energy ... 0.021 eV/atom
Total magnetic moment ... 0.000 μB/atom
Calculated total energy ... -0.344 Ry per atom
SG ... R3m, No. 160
Density ... 7.5 g/cm3



# 5
VASP calculation (PBE) on Pr4Sm3Er after structural relaxation.

Geometry as extended XYZ:
```
16
Lattice="6.3822 0.0000 0.0000 0.0000 7.3911 0.0000 0.0000 0.0000 11.8235" Properties=species:S:1:pos:R:3 pbc="T T T"
Pr 0.9574 6.4537 0.0000
Pr 4.1103 0.9406 0.0000
Pr 6.2694 0.9490 2.9240
Pr 3.0783 6.4421 2.9878
Pr 0.9192 6.4505 5.9118
Pr 4.1485 0.9374 5.9118
Pr 3.0783 6.4421 8.8357
Pr 6.2694 0.9490 8.8996
Sm 4.1445 4.6079 0.0000
Sm 6.2530 4.5964 2.9566
Sm 3.0619 2.7947 2.9551
Sm 0.9534 2.7832 5.9118
Sm 3.0619 2.7947 8.8684
Sm 6.2530 4.5964 8.8669
Er 0.9424 2.8024 0.0000
Er 4.1335 4.5887 5.9118
```

## Properties
Calculated formation energy ... 0.032 eV/atom
Total magnetic moment ... 0.000 μB/atom
Calculated total energy ... -0.345 Ry per atom
SG ... Pmn2_1, No. 31
Density ... 7.0 g/cm3



# 6
VASP calculation (PBE) on Pr5Sm8Er after structural relaxation.

Geometry as extended XYZ:
```
14
Lattice="8.5062 -0.1631 -1.9307 -4.8031 6.5442 -3.2469 0.9230 0.1631 8.6722" Properties=species:S:1:pos:R:3 pbc="T T T"
Pr 0.0567 1.6221 0.2748
Pr 2.0827 5.8638 -2.5572
Pr 4.8869 4.2900 3.4849
Pr 0.0023 5.7585 0.3531
Pr 2.9386 0.8932 6.2118
Sm -0.8994 4.0886 -2.5317
Sm 7.7130 1.0428 3.5536
Sm 3.9064 1.0425 0.8360
Sm 5.1499 2.4351 -2.2310
Sm 3.0197 4.0850 0.2702
Sm 1.4646 5.8384 3.2335
Sm 1.7047 2.5986 3.3177
Sm -3.1956 5.8357 -0.0858
Er -1.6685 3.6052 2.6874
```

## Properties
Calculated formation energy ... 0.157 eV/atom
Total magnetic moment ... 0.000 μB/atom
Calculated total energy ... -0.336 Ry per atom
SG ... P1, No. 1
Density ... 7.0 g/cm3



# 7
VASP calculation (PBE) on Pr6Sm2Er3 after structural relaxation.

Geometry as extended XYZ:
```
11
Lattice="5.8458 -1.0574 2.1067 -0.6634 7.7048 2.6039 4.4810 6.4246 12.7961" Properties=species:S:1:pos:R:3 pbc="T T T"
Pr 3.3788 9.4884 11.1697
Pr 7.8681 5.1869 12.2356
Pr 6.2845 3.5836 6.3370
Pr 1.7952 7.8851 5.2711
Pr 6.7450 8.2092 10.5911
Pr 2.9183 4.8628 6.9155
Sm 3.8403 3.4289 3.6843
Sm 5.8230 9.6431 13.8224
Er 0.0000 0.0000 0.0000
Er 4.2822 8.0571 7.9180
Er 5.3811 5.0149 9.5887
```

## Properties
Calculated formation energy ... 0.017 eV/atom
Total magnetic moment ... 0.000 μB/atom
Calculated total energy ... -0.345 Ry per atom
SG ... P-1, No. 2
Density ... 7.3 g/cm3



# 8
VASP calculation (PBE) on PrSm7Er2 after structural relaxation.

Geometry as extended XYZ:
```
10
Lattice="-5.5847 -2.2374 -1.7155 -4.4504 -8.8926 -4.2669 0.3089 -1.0657 8.0003" Properties=species:S:1:pos:R:3 pbc="T T T"
Pr 0.0000 0.0000 0.0000
Sm -3.4907 -7.0834 1.6323
Sm -6.2355 -5.1124 0.3857
Sm -6.9041 -7.9737 2.4476
Sm -2.8221 -4.2221 -0.4297
Sm -7.8511 -9.7872 -3.4253
Sm -1.8751 -2.4086 5.4432
Sm -5.0175 -5.5650 -2.9912
Er -5.6616 -8.4400 -0.8869
Er -4.0646 -3.7558 2.9049
```

## Properties
Calculated formation energy ... 0.017 eV/atom
Total magnetic moment ... 0.000 μB/atom
Calculated total energy ... -0.344 Ry per atom
SG ... P-1, No. 2
Density ... 7.6 g/cm3



# 9
VASP calculation (PBE) on Pr6SmEr6 after structural relaxation.

Geometry as extended XYZ:
```
13
Lattice="-5.9464 -1.8232 2.6183 5.3673 -4.0322 0.6863 2.7111 5.2826 9.8355" Properties=species:S:1:pos:R:3 pbc="T T T"
Pr 1.7775 3.4637 6.4488
Pr 0.9335 1.8190 3.3867
Pr 1.5960 -3.2959 1.3303
Pr -2.1751 -2.5596 1.9743
Pr 2.9519 -0.6545 6.2479
Pr -0.8199 0.0817 6.8922
Sm 0.0000 0.0000 0.0000
Er 4.7256 1.9627 7.7510
Er -0.9313 3.0671 8.7170
Er 1.7523 1.0509 9.0600
Er -2.3040 0.3923 3.7368
Er 3.3528 -0.7123 2.7707
Er 0.3797 -1.6237 4.0801
```

## Properties
Calculated formation energy ... 0.250 eV/atom
Total magnetic moment ... 0.003 μB/atom
Calculated total energy ... -0.325 Ry per atom
SG ... P6/mmm, No. 191
Density ... 7.3 g/cm3



# 10
VASP calculation (PBE) on Pr12Sm6Er after structural relaxation.

Geometry as extended XYZ:
```
19
Lattice="9.4542 -1.7849 -2.6195 -2.9204 9.1673 -2.6195 -1.5798 -1.7849 9.6824" Properties=species:S:1:pos:R:3 pbc="T T T"
Pr 7.1824 -1.3658 2.2217
Pr -0.5183 7.4130 -0.4649
Pr 0.3418 0.3862 7.4278
Pr -2.4670 5.2112 4.9084
Pr 4.6122 5.2112 -2.9843
Pr 5.4724 -1.8156 4.9084
Pr 1.9672 6.9632 -2.4559
Pr -1.7186 2.7987 6.8994
Pr -2.2284 6.9632 2.2217
Pr 2.9868 -1.3658 6.8994
Pr 6.6726 2.7987 -2.4559
Pr 7.4211 0.3862 -0.4649
Sm 4.3331 1.7840 3.8865
Sm 3.9984 4.5177 0.8159
Sm 1.2443 4.5177 3.8865
Sm 0.9556 1.0797 3.6276
Sm 0.6210 3.8135 0.5570
Sm 3.7098 1.0797 0.5570
Er 0.0000 0.0000 0.0000
```

## Properties
Calculated formation energy ... 0.303 eV/atom
Total magnetic moment ... 0.000 μB/atom
Calculated total energy ... -0.327 Ry per atom
SG ... R-3m, No. 166
Density ... 6.7 g/cm3



# 11
VASP calculation (PBE) on Pr2Sm3Er3 after structural relaxation.

Geometry as extended XYZ:
```
16
Lattice="-2.4411 -3.5571 -4.6239 4.0931 1.8952 -3.6189 8.6775 -11.1337 3.9840" Properties=species:S:1:pos:R:3 pbc="T T T"
Pr 8.6444 -11.2766 -3.0566
Pr 3.8663 -4.3175 -0.2008
Pr 6.4633 -8.4782 -4.0580
Pr 1.6852 -1.5190 -1.2022
Sm 4.2889 -5.7321 -5.0838
Sm 8.2188 -9.8582 1.8251
Sm 2.1108 -2.9374 -6.0838
Sm 6.0407 -7.0636 0.8251
Sm 1.5604 -4.6896 -3.0045
Sm 8.7692 -8.1061 -1.2542
Er 3.7417 -7.4593 -1.9844
Er 2.2529 0.2257 -4.2646
Er 8.0767 -13.0214 0.0058
Er 6.5879 -5.3364 -2.2743
Er 4.4106 -2.5711 -3.2920
Er 5.9190 -10.2246 -0.9667
```

## Properties
Calculated formation energy ... 0.025 eV/atom
Total magnetic moment ... 0.000 μB/atom
Calculated total energy ... -0.342 Ry per atom
SG ... Pmmn, No. 59
Density ... 7.6 g/cm3



# 12
VASP calculation (PBE) on Pr14SmEr after structural relaxation.

Geometry as extended XYZ:
```
16
Lattice="7.3199 0.9817 0.0000 -0.9825 7.3197 0.0000 0.0000 0.0000 10.4653" Properties=species:S:1:pos:R:3 pbc="T T T"
Pr 2.1287 4.9447 5.2327
Pr 6.2832 1.7730 5.2327
Pr 5.7919 5.4338 0.0000
Pr 5.7900 5.4340 5.2327
Pr 2.6224 1.2821 0.0000
Pr 2.6217 1.2839 5.2327
Pr 3.7093 7.0103 7.8736
Pr 3.7093 7.0103 2.5918
Pr 0.5527 2.8754 7.8736
Pr 0.5527 2.8754 2.5918
Pr 0.0634 6.5213 7.8764
Pr 0.0634 6.5213 2.5889
Pr 4.1983 3.3647 7.8726
Pr 4.1983 3.3647 2.5927
Sm 6.2807 1.7750 0.0000
Er 2.1328 4.9415 0.0000
```

## Properties
Calculated formation energy ... 0.012 eV/atom
Total magnetic moment ... 0.000 μB/atom
Calculated total energy ... -0.349 Ry per atom
SG ... P4/mmm, No. 123
Density ... 6.7 g/cm3



# 13
VASP calculation (PBE) on PrSm5Er2 after structural relaxation.

Geometry as extended XYZ:
```
16
Lattice="-0.8073 -4.5458 -2.1399 1.9883 -3.2416 6.1360 -13.6900 0.2747 4.5813" Properties=species:S:1:pos:R:3 pbc="T T T"
Pr -6.8450 0.1373 2.2906
Pr 0.9942 -1.6208 3.0680
Sm 0.0000 0.0000 0.0000
Sm -5.8509 -1.4835 5.3587
Sm -9.2665 -1.4106 6.4924
Sm -2.4352 -1.5564 4.2249
Sm -3.4102 0.0640 1.1505
Sm -8.2915 -3.0310 9.5668
Sm -11.8795 -2.8378 4.4595
Sm -0.6295 -4.6750 4.1179
Sm -5.0280 -2.9858 2.1891
Sm -7.4811 -4.5270 6.3883
Er -8.4707 -2.9098 3.3264
Er -4.0383 -4.6030 5.2509
Er -1.6236 -3.0506 1.0422
Er -10.8854 -4.4623 7.5352
```

## Properties
Calculated formation energy ... 0.016 eV/atom
Total magnetic moment ... 0.000 μB/atom
Calculated total energy ... -0.343 Ry per atom
SG ... Pbam, No. 55
Density ... 7.7 g/cm3



# 14
VASP calculation (PBE) on Pr4Sm5Er after structural relaxation.

Geometry as extended XYZ:
```
20
Lattice="-2.0903 -5.2143 1.5079 9.8786 -4.3624 -1.3905 2.3773 2.0610 10.4226" Properties=species:S:1:pos:R:3 pbc="T T T"
Pr 0.3600 -1.8358 8.3165
Pr 5.6607 -6.3750 -0.0305
Pr 1.5782 -4.5722 0.5442
Pr -0.6222 -2.6874 4.0102
Pr 4.6598 -3.6776 2.0137
Pr 8.2556 -4.3523 4.6639
Pr 2.4594 -1.7928 5.4798
Pr 6.0549 -2.4681 8.1301
Sm 9.9404 -2.7802 7.8223
Sm 3.2454 0.1763 8.7647
Sm 2.8491 -7.3952 0.8125
Sm 8.3293 -4.1770 0.7588
Sm 1.6342 -1.2205 1.7012
Sm 5.5870 -6.5503 3.8746
Sm 2.4033 -5.1444 4.3227
Sm 1.1885 1.0303 5.2114
Sm 3.1695 -4.4802 7.6818
Sm 6.3531 -5.8861 7.2336
Er -1.3257 -3.3069 0.9563
Er 5.3633 -3.0580 5.0676
```

## Properties
Calculated formation energy ... 0.179 eV/atom
Total magnetic moment ... 0.000 μB/atom
Calculated total energy ... -0.334 Ry per atom
SG ... P4/nmm, No. 129
Density ... 7.1 g/cm3



# 15
VASP calculation (PBE) on Pr3Sm7Er after structural relaxation.

Geometry as extended XYZ:
```
11
Lattice="6.4847 -0.0068 0.4082 0.3988 7.7254 1.0726 -0.0341 0.0177 7.8090" Properties=species:S:1:pos:R:3 pbc="T T T"
Pr 0.3237 6.3877 2.2417
Pr 3.2424 -0.0034 0.2041
Pr 6.5257 1.3486 7.0481
Sm 5.1838 1.8615 2.4621
Sm 5.1310 7.0492 5.7334
Sm 1.8662 3.3187 1.2564
Sm 4.9832 4.4176 8.0334
Sm 0.1823 3.8716 4.4408
Sm 1.7184 0.6872 3.5564
Sm 1.6656 5.8749 6.8277
Er 3.4247 3.8682 4.6449
```

## Properties
Calculated formation energy ... 0.230 eV/atom
Total magnetic moment ... 0.000 μB/atom
Calculated total energy ... -0.330 Ry per atom
SG ... C2/m, No. 12
Density ... 7.0 g/cm3



# 16
VASP calculation (PBE) on Pr11Sm4Er9 after structural relaxation.

Geometry as extended XYZ:
```
24
Lattice="3.7099 0.0000 0.0000 0.0000 14.2082 -6.0670 0.0000 0.0047 15.4493" Properties=species:S:1:pos:R:3 pbc="T T T"
Pr 0.0000 8.4526 11.1761
Pr 0.0000 5.7603 -1.7938
Pr 0.0000 13.5987 3.3806
Pr 0.0000 0.6142 6.0018
Pr 0.0000 8.9918 1.8351
Pr 0.0000 5.2211 7.5472
Pr 0.0000 11.9347 -2.6230
Pr 0.0000 2.2782 12.0053
Pr 0.0000 0.0000 0.0000
Pr 0.0000 10.0902 6.6608
Pr 0.0000 4.1227 2.7215
Sm 1.8549 7.8941 8.3310
Sm 1.8549 6.3188 1.0513
Sm 1.8549 10.7630 3.9850
Sm 1.8549 3.4499 5.3973
Er 1.8549 8.9909 -1.2902
Er 1.8549 5.2220 10.6725
Er 1.8549 2.3468 8.7745
Er 1.8549 11.8661 0.6078
Er 1.8549 11.2028 9.6504
Er 1.8549 3.0101 -0.2681
Er 1.8549 13.2765 6.5091
Er 1.8549 0.9364 2.8732
Er 1.8549 7.1064 4.6912
```

## Properties
Calculated formation energy ... 0.062 eV/atom
Total magnetic moment ... 0.000 μB/atom
Calculated total energy ... -0.340 Ry per atom
SG ... Cmmm, No. 65
Density ... 7.5 g/cm3



# 17
VASP calculation (PBE) on Pr2Sm2Er3 after structural relaxation.

Geometry as extended XYZ:
```
7
Lattice="-4.3845 -2.3741 1.0937 0.2311 -3.5682 5.0932 -2.5144 3.1312 8.6290" Properties=species:S:1:pos:R:3 pbc="T T T"
Pr -2.9197 -0.3922 11.2681
Pr -3.7481 -2.4188 3.5479
Sm -0.9092 -1.2909 5.4652
Sm -5.7586 -1.5201 9.3507
Er -2.1922 -1.1870 0.5468
Er -2.4462 -2.5659 8.4480
Er -4.2216 -0.2452 6.3679
```

## Properties
Calculated formation energy ... 0.028 eV/atom
Total magnetic moment ... 0.005 μB/atom
Calculated total energy ... -0.341 Ry per atom
SG ... C2/m, No. 12
Density ... 7.8 g/cm3



# 18
VASP calculation (PBE) on Pr4Sm2Er3 after structural relaxation.

Geometry as extended XYZ:
```
18
Lattice="5.8789 1.7292 1.2381 2.2488 11.1769 0.7109 2.2488 4.2743 10.3518" Properties=species:S:1:pos:R:3 pbc="T T T"
Pr 4.9184 11.6737 3.1204
Pr 2.5187 9.6005 1.6361
Pr 5.4582 5.5068 9.1803
Pr 7.8579 7.5800 10.6647
Pr 1.7637 3.5804 4.6246
Pr 5.6735 10.7843 9.7823
Pr 8.6130 13.6001 7.6762
Pr 4.7031 6.3962 2.5184
Sm 4.1654 5.6782 6.0791
Sm 3.2718 8.7314 8.2651
Sm 6.2112 11.5023 6.2217
Sm 7.1049 8.4491 4.0357
Er 5.1293 3.1723 3.7551
Er 8.1868 13.4681 11.1267
Er 5.2473 14.0082 8.5456
Er 2.1899 3.7124 1.1741
Er 3.7186 8.8539 4.8688
Er 6.6581 8.3266 7.4319
```

## Properties
Calculated formation energy ... 0.083 eV/atom
Total magnetic moment ... 0.000 μB/atom
Calculated total energy ... -0.339 Ry per atom
SG ... C2/c, No. 15
Density ... 7.5 g/cm3



# 19
VASP calculation (PBE) on Pr3Sm4Er8 after structural relaxation.

Geometry as extended XYZ:
```
15
Lattice="-5.6457 -0.5888 3.6764 0.8686 -7.0557 -6.0076 7.3540 -3.4741 4.5252" Properties=species:S:1:pos:R:3 pbc="T T T"
Pr -2.3885 -3.8222 -1.1656
Pr 0.8541 -2.0315 4.1008
Pr 1.2884 -5.5593 1.0970
Sm -2.8229 -0.2944 1.8382
Sm 0.4343 -3.5278 -3.0038
Sm 0.0000 0.0000 0.0000
Sm 3.6770 -1.7371 2.2626
Er -0.7803 -3.1097 1.5379
Er 3.2093 -5.7630 -2.2061
Er 2.1655 -2.8089 -0.3782
Er -0.3000 -6.4365 -1.4828
Er 2.8769 -4.6821 3.6769
Er 0.4114 -8.3097 2.5723
Er 5.0133 -4.7668 0.7237
Er 3.3572 -8.0089 0.6562
```

## Properties
Calculated formation energy ... 0.372 eV/atom
Total magnetic moment ... 0.000 μB/atom
Calculated total energy ... -0.314 Ry per atom
SG ... C2/m, No. 12
Density ... 7.8 g/cm3